Entry from the Open Quantum Materials Database: crystalline BaSmMgSb2 at its relaxed geometry (GGA-PBE).

Lattice parameters (Å, degrees): 9.705 9.705 7.239 90.00 90.00 150.78
Atoms (fractional coordinates):
Ba: 0.199 0.801 0.500
Ba: 0.801 0.199 0.000
Sm: 0.013 0.987 0.219
Sm: 0.987 0.013 0.719
Mg: 0.406 0.594 0.397
Mg: 0.594 0.406 0.897
Sb: 0.160 0.840 0.992
Sb: 0.439 0.561 0.996
Sb: 0.561 0.439 0.496
Sb: 0.840 0.160 0.492

VASP energy (eV per atom): -4.1665